1.
Sm2DyEr4Sc: relaxed, PBE.

E_form in eV/atom: 0.034
SG: P4/mmm, No. 123
VASP energy in eV per cell: -38.35

Unit cell a=4.9728 b=4.9744 c=11.0782 alpha=63.33 beta=90.00 gamma=90.00
Sites, in units of the cell vectors:
Dy: 0.5000 0.5000 0.0000
Er: 0.5000 0.2549 0.7453
Er: 0.5000 0.7452 0.2547
Er: 0.0000 0.2451 0.2547
Sm: 0.5000 0.0000 0.5000
Sm: 0.0000 0.0000 0.0000
Er: 0.0000 0.7549 0.7453
Sc: 0.0000 0.5000 0.5000



2.
Sc2TaMn2: relaxed, PBE.

E_form in eV/atom: 0.544
SG: P4/mbm, No. 127
ΔE to the lowest computed polymorph in eV/atom: 0.464
VASP energy in eV per cell: -80.26

Unit cell a=7.6197 b=7.6197 c=2.8153 alpha=90.00 beta=90.00 gamma=90.00
Sites, in units of the cell vectors:
Mn: 0.8143 0.3143 0.5000
Mn: 0.1857 0.6857 0.5000
Mn: 0.3143 0.1857 0.5000
Sc: 0.3740 0.8740 0.0000
Ta: 0.5000 0.5000 0.0000
Sc: 0.8740 0.6260 0.0000
Sc: 0.6260 0.1260 0.0000
Ta: 0.0000 0.0000 0.0000
Mn: 0.6857 0.8143 0.5000
Sc: 0.1260 0.3740 0.0000



no.,D(E_F) (states/eV per atom)
1,1.45
2,2.25